VASP calculation (GGA-PBE) on PuUInO6 after structural relaxation.

a b c (Å): 5.5832 5.5832 9.8675
angles (deg): 90.00 90.00 120.00
Fractional positions:
Pu 0.0000 0.0000 0.0000
Pu 0.0000 0.0000 0.5000
U 0.3333 0.6667 0.2500
U 0.6667 0.3333 0.7500
In 0.3333 0.6667 0.7500
In 0.6667 0.3333 0.2500
O 0.0097 0.3441 0.1330
O 0.0097 0.6657 0.3670
O 0.3343 0.3441 0.3670
O 0.3343 0.9903 0.1330
O 0.3441 0.0097 0.6330
O 0.3441 0.3343 0.8670
O 0.6559 0.6657 0.1330
O 0.6559 0.9903 0.3670
O 0.6657 0.0097 0.8670
O 0.6657 0.6559 0.6330
O 0.9903 0.3343 0.6330
O 0.9903 0.6559 0.8670

Properties
Its total energy is -9.07 eV/atom. As for the density of states at the Fermi level: 8.11 states/eV/f.u. Its space group is P-31c.